Entry 1:
Below is a relaxed NaSrMg2Al crystal, with properties calculated at the GGA-PBEsol level.

Geometry as CIF:
```
data_NaSrMg2Al
_cell_length_a 6.2146
_cell_length_b 6.2146
_cell_length_c 6.1572
_cell_angle_alpha 90.00
_cell_angle_beta 90.00
_cell_angle_gamma 90.00
_symmetry_space_group_name_H-M 'P 4/m m m'
_symmetry_Int_Tables_number 123
_symmetry_space_group_name_Hall '-P 4 2'
loop_
_atom_site_label
_atom_site_type_symbol
_atom_site_fract_x
_atom_site_fract_y
_atom_site_fract_z
Na1 Na 0.0000 0.0000 0.0000
Sr1 Sr 0.0000 0.0000 0.5000
Mg1 Mg 0.0000 0.5000 0.5000
Al1 Al 0.5000 0.5000 0.0000
```

Results
The volume is 47.6 A^3/atom. The value obtained for the uncorrected energy is -0.99 eV/atom. The density of states at the Fermi level is 5.161 states/eV per cell. The energy of formation from the pure elements is 1.164 eV per atom.



Entry 2:
Below is a relaxed LiInTc2 crystal, with properties calculated at the GGA-PBEsol level.

Geometry as CIF:
```
data_LiInTc2
_cell_length_a 6.1694
_cell_length_b 6.1694
_cell_length_c 6.1694
_cell_angle_alpha 90.00
_cell_angle_beta 90.00
_cell_angle_gamma 90.00
_symmetry_space_group_name_H-M 'F -4 3 m'
_symmetry_Int_Tables_number 216
_symmetry_space_group_name_Hall 'F -4 2 3'
loop_
_atom_site_label
_atom_site_type_symbol
_atom_site_fract_x
_atom_site_fract_y
_atom_site_fract_z
Li1 Li 0.0000 0.0000 0.0000
In1 In 0.2500 0.2500 0.7500
Tc1 Tc 0.0000 0.0000 0.5000
Tc2 Tc 0.2500 0.2500 0.2500
```

Results
The volume is 14.7 A^3/atom. The value obtained for the uncorrected energy is -6.78 eV/atom. The density of states at the Fermi level is 6.958 states/eV per cell. The energy of formation from the pure elements is 0.091 eV per atom.



Entry 3:
Below is a relaxed Tl2HgSb crystal, with properties calculated at the GGA-PBEsol level.

Geometry as CIF:
```
data_Tl2HgSb
_cell_length_a 3.5353
_cell_length_b 5.5268
_cell_length_c 11.0842
_cell_angle_alpha 90.00
_cell_angle_beta 90.00
_cell_angle_gamma 90.00
_symmetry_space_group_name_H-M 'I m m 2'
_symmetry_Int_Tables_number 44
loop_
_symmetry_equiv_pos_as_xyz
'x,y,z'
'-x,-y,z'
'-x,y,z'
'x,-y,z'
'x+1/2,y+1/2,z+1/2'
'-x+1/2,-y+1/2,z+1/2'
'-x+1/2,y+1/2,z+1/2'
'x+1/2,-y+1/2,z+1/2'
loop_
_atom_site_label
_atom_site_type_symbol
_atom_site_fract_x
_atom_site_fract_y
_atom_site_fract_z
Tl1 Tl 0.0000 0.0000 0.0000
Tl2 Tl 0.0000 0.5000 0.2257
Hg1 Hg 0.0000 0.5000 0.7435
Sb1 Sb 0.0000 0.0000 0.4718
```

Results
The volume is 27.1 A^3/atom. The value obtained for the uncorrected energy is -2.56 eV/atom. The uncorrected formation energy is 0.04 eV/atom. As for the excess energy over the best structure of this formula in the dataset: 43 meV per atom. The density of states at the Fermi level is 3.893 states/eV per cell.



Entry 4:
Below is a relaxed NaTi2Ga5O12 crystal, with properties calculated at the GGA-PBEsol level.

Geometry as CIF:
```
data_NaTi2Ga5O12
_cell_length_a 9.3729
_cell_length_b 15.6809
_cell_length_c 2.9963
_cell_angle_alpha 90.00
_cell_angle_beta 90.00
_cell_angle_gamma 90.00
_symmetry_space_group_name_H-M 'P b a m'
_symmetry_Int_Tables_number 55
loop_
_symmetry_equiv_pos_as_xyz
'x,y,z'
'-x,-y,-z'
'-x,-y,z'
'x,y,-z'
'x+1/2,-y+1/2,-z'
'-x+1/2,y+1/2,z'
'-x+1/2,y+1/2,-z'
'x+1/2,-y+1/2,z'
loop_
_atom_site_label
_atom_site_type_symbol
_atom_site_fract_x
_atom_site_fract_y
_atom_site_fract_z
Na1 Na 0.0000 0.0000 0.0000
Ti1 Ti 0.2292 0.3565 0.0000
Ga1 Ga 0.0000 0.5000 0.5000
Ga2 Ga 0.0083 0.1986 0.5000
Ga3 Ga 0.1958 0.6469 0.0000
O1 O 0.1048 0.4454 0.0000
O2 O 0.1067 0.1420 0.0000
O3 O 0.1127 0.7549 0.0000
O4 O 0.1393 0.5910 0.5000
O5 O 0.1425 0.2943 0.5000
O6 O 0.1445 0.8958 0.5000
```

Results
The volume is 11.0 A^3/atom. The value obtained for the uncorrected energy is -7.14 eV/atom. The uncorrected formation energy is -2.26 eV/atom. The density of states at the Fermi level is 0.000 states/eV per cell.



Entry 5:
Below is a relaxed KP3 crystal, with properties calculated at the GGA-PBEsol level.

Geometry as CIF:
```
data_KP3
_cell_length_a 4.2462
_cell_length_b 4.2462
_cell_length_c 8.1149
_cell_angle_alpha 90.00
_cell_angle_beta 90.00
_cell_angle_gamma 90.00
_symmetry_space_group_name_H-M 'I 4/m m m'
_symmetry_Int_Tables_number 139
_symmetry_space_group_name_Hall '-I 4 2'
loop_
_atom_site_label
_atom_site_type_symbol
_atom_site_fract_x
_atom_site_fract_y
_atom_site_fract_z
K1 K 0.0000 0.0000 0.0000
P1 P 0.0000 0.0000 0.5000
P2 P 0.0000 0.5000 0.2500
```

Results
The volume is 18.3 A^3/atom. The value obtained for the uncorrected energy is -3.95 eV/atom. As for the excess energy over the best structure of this formula in the dataset: 83 meV per atom. The density of states at the Fermi level is 3.753 states/eV per cell. The energy of formation from the pure elements is 0.672 eV per atom.



Entry 6:
Below is a relaxed RuSeS2N crystal, with properties calculated at the GGA-PBEsol level.

Geometry as CIF:
```
data_RuSeS2N
_cell_length_a 4.6925
_cell_length_b 4.6925
_cell_length_c 3.4930
_cell_angle_alpha 90.00
_cell_angle_beta 90.00
_cell_angle_gamma 90.00
_symmetry_space_group_name_H-M 'P 4/m m m'
_symmetry_Int_Tables_number 123
_symmetry_space_group_name_Hall '-P 4 2'
loop_
_atom_site_label
_atom_site_type_symbol
_atom_site_fract_x
_atom_site_fract_y
_atom_site_fract_z
Ru1 Ru 0.0000 0.0000 0.0000
Se1 Se 0.5000 0.5000 0.5000
S1 S 0.0000 0.5000 0.5000
N1 N 0.5000 0.5000 0.0000
```

Results
The volume is 15.4 A^3/atom. The value obtained for the uncorrected energy is -4.80 eV/atom. The uncorrected formation energy is 1.46 eV/atom. The density of states at the Fermi level is 5.357 states/eV per cell.